VASP calculation (PBE+U) on crystalline Tb3Co5O12 at its relaxed geometry. Values from VASP.

Quantum ESPRESSO input file:
```
&SYSTEM
  ibrav = 0, nat = 80, ntyp = 3
/
ATOMIC_SPECIES
Tb 158.93 Tb.upf
Co 58.93 Co.upf
O 16.00 O.upf
CELL_PARAMETERS angstrom
-2.860 -8.445 5.796
10.517 1.399 0.724
-4.987 8.656 3.647
ATOMIC_POSITIONS angstrom
Tb 1.175 -4.727 5.075
Tb 4.762 -5.258 6.071
Tb 3.698 3.292 4.996
Tb -1.271 1.310 2.907
Tb -2.435 -5.050 6.074
Tb 4.254 -0.128 3.538
Tb -1.584 1.739 6.629
Tb 5.105 6.661 4.093
Tb 3.940 0.301 7.260
Tb -1.028 -1.682 5.171
Tb -2.092 6.868 4.096
Tb 1.494 6.337 5.092
Co 2.340 1.633 1.908
Co 5.259 0.700 0.362
Co 0.000 0.000 0.000
Co 0.933 -1.735 2.810
Co -3.924 0.105 4.721
Co 3.828 -3.523 3.260
Co 5.660 3.240 2.635
Co -5.194 1.415 7.628
Co 2.558 -2.213 6.167
Co -3.498 3.500 4.999
Co 6.168 -1.890 5.168
Co 1.335 0.805 5.084
Co -1.430 -4.222 2.898
Co -2.494 4.328 1.823
Co 0.112 3.823 4.000
Co 7.864 0.195 2.539
Co 2.765 5.027 2.185
Co -2.990 -1.630 7.532
Co 1.737 3.345 7.357
Co 0.330 -0.023 8.259
O -0.868 -5.519 4.251
O 2.586 1.501 3.750
O -0.286 -5.101 7.004
O 0.006 -3.121 3.641
O 2.353 1.917 6.330
O 2.595 -5.877 6.706
O 5.376 2.000 3.997
O 8.800 1.540 1.652
O 5.172 2.182 6.607
O 3.228 -3.601 5.121
O 0.800 -2.802 6.354
O 7.032 -5.472 5.540
O 4.401 4.521 3.131
O 2.785 -1.938 2.784
O 7.409 3.870 2.504
O -2.890 1.767 4.686
O 0.600 1.308 1.326
O 5.270 -2.238 3.573
O 5.821 -3.100 6.541
O 3.599 0.379 1.348
O 5.166 5.074 5.814
O 2.739 -0.515 5.423
O 3.465 -1.934 7.771
O -3.446 1.671 8.219
O -0.069 2.125 4.744
O -0.795 3.545 2.396
O 6.116 -0.061 1.948
O -3.151 4.710 3.626
O -2.496 -3.464 4.353
O -0.929 1.231 8.819
O -2.600 3.848 6.594
O 5.560 -0.156 5.481
O 2.070 0.302 8.841
O -4.739 -2.260 7.663
O -1.731 -2.911 7.036
O -4.362 7.082 4.627
O -0.115 3.548 7.383
O -2.502 -0.572 3.560
O -0.558 5.212 5.046
O 1.870 4.413 3.813
O -6.130 0.070 8.515
O -2.706 -0.390 6.170
O 2.664 4.732 6.526
O 0.075 7.487 3.461
O 0.317 -0.307 3.837
O 2.956 6.711 3.163
O 0.084 0.109 6.417
O 3.538 7.130 5.916
```

Properties
Total DFT energy (no corrections), eV per atom: -6.88